CsMoO3, optimized geometry, DFT PBE with a Hubbard U; E = -63.3 eV per cell
1.0
4.145 0.000 0.000
-0.032 7.518 0.000
-2.039 -3.585 7.129
Cs Mo O
2 2 6
Direct
0.097 0.280 0.201 Cs
0.903 0.720 0.799 Cs
0.327 0.148 0.655 Mo
0.673 0.852 0.345 Mo
0.198 0.904 0.397 O
0.330 0.388 0.656 O
0.429 0.113 0.863 O
0.571 0.887 0.137 O
0.670 0.612 0.344 O
0.802 0.096 0.603 O